No. 1
Sm2ScGePd6: optimized geometry, PBE-GGA.

Calculated values
Density of states at the Fermi level   10.8 states/eV per cell
ρ   7.755 g/cm3
Energy of formation from the pure elements   -5.850 eV per formula unit
Energy   -5.7394 eV per atom

```
data_Sm2ScGePd6
_chemical_formula_sum 'Sm4 Sc2 Ge2 Pd12'
_symmetry_space_group_name_H-M 'C 1 2/m 1'
_symmetry_Int_Tables_number 12
_cell_length_a 9.840
_cell_length_b 5.680
_cell_length_c 8.743
_cell_angle_alpha 90.00
_cell_angle_beta 112.16
_cell_angle_gamma 90.00
loop_
_symmetry_equiv_pos_as_xyz
'x,y,z'
'-x,-y,-z'
'-x,y,-z'
'x,-y,z'
'x+1/2,y+1/2,z'
'-x+1/2,-y+1/2,-z'
'-x+1/2,y+1/2,-z'
'x+1/2,-y+1/2,z'
loop_
_atom_site_label
_atom_site_type_symbol
_atom_site_fract_x
_atom_site_fract_y
_atom_site_fract_z
Sm1 Sm 0.205 0.000 0.115
Sc1 Sc 0.000 0.000 0.500
Ge1 Ge 0.000 0.500 0.000
Pd1 Pd 0.007 0.246 0.768
Pd2 Pd 0.247 0.500 0.232
```

---

No. 2
SrNpSbO6: optimized geometry, PBE-GGA.

Calculated values
Density of states at the Fermi level   5.9 states/eV per cell
Formation energy from raw total energies   -54.85 kcal/mol of atoms
ρ   6.217 g/cm3
Energy   -7.7669 eV per atom

```
data_SrNpSbO6
_chemical_formula_sum 'Sr2 Np2 Sb2 O12'
_symmetry_space_group_name_H-M 'P -3 1 c'
_symmetry_Int_Tables_number 163
_symmetry_space_group_name_Hall '-P 3 2c'
_cell_length_a 5.6110
_cell_length_b 5.6110
_cell_length_c 10.6260
_cell_angle_alpha 90.00
_cell_angle_beta 90.00
_cell_angle_gamma 120.00
loop_
_atom_site_label
_atom_site_type_symbol
_atom_site_fract_x
_atom_site_fract_y
_atom_site_fract_z
Sr1 Sr 0.0000 0.0000 0.0000
Np1 Np 0.3333 0.6667 0.2500
Sb1 Sb 0.3333 0.6667 0.7500
O1 O 0.0145 0.3769 0.6454
```

---

No. 3
Mg3ScAg: optimized geometry, PBE-GGA.

Calculated values
Density of states at the Fermi level   5.4 states/eV per cell
ρ   2.103 g/cm3
Energy relative to the lowest polymorph listed for this composition   1.152 eV/atom
Energy of formation from the pure elements   5.229 eV per formula unit
Energy   -1.7475 eV per atom

```
data_Mg3ScAg
_chemical_formula_sum 'Mg3 Sc1 Ag1'
_symmetry_space_group_name_H-M 'P m -3 m'
_symmetry_Int_Tables_number 221
_symmetry_space_group_name_Hall '-P 4 2 3'
_cell_length_a 5.627
_cell_length_b 5.627
_cell_length_c 5.627
_cell_angle_alpha 90.00
_cell_angle_beta 90.00
_cell_angle_gamma 90.00
loop_
_atom_site_label
_atom_site_type_symbol
_atom_site_fract_x
_atom_site_fract_y
_atom_site_fract_z
Mg1 Mg 0.000 0.000 0.500
Sc1 Sc 0.000 0.000 0.000
Ag1 Ag 0.500 0.500 0.500
```

---

No. 4
BaLiZnHg2: optimized geometry, PBE-GGA.

Calculated values
Density of states at the Fermi level   3.4 states/eV per cell
ρ   7.031 g/cm3
Energy relative to the lowest polymorph listed for this composition   0.050 eV/atom
Energy of formation from the pure elements   -0.989 eV per formula unit
Energy   -1.3407 eV per atom

```
data_BaLiZnHg2
_chemical_formula_sum 'Ba1 Li1 Zn1 Hg2'
_symmetry_space_group_name_H-M 'P 4/m m m'
_symmetry_Int_Tables_number 123
_symmetry_space_group_name_Hall '-P 4 2'
_cell_length_a 5.342
_cell_length_b 5.342
_cell_length_c 5.056
_cell_angle_alpha 90.00
_cell_angle_beta 90.00
_cell_angle_gamma 90.00
loop_
_atom_site_label
_atom_site_type_symbol
_atom_site_fract_x
_atom_site_fract_y
_atom_site_fract_z
Ba1 Ba 0.000 0.000 0.000
Li1 Li 0.500 0.500 0.000
Zn1 Zn 0.500 0.500 0.500
Hg1 Hg 0.000 0.500 0.500
```

---

No. 5
Li2As2O7: optimized geometry, PBE-GGA.

Calculated values
Density of states at the Fermi level   3.7 states/eV per cell
Formation energy from raw total energies   -26.26 kcal/mol of atoms
ρ   3.135 g/cm3
Energy   -5.4875 eV per atom

```
data_Li2As2O7
_chemical_formula_sum 'Li4 As4 O14'
_symmetry_space_group_name_H-M 'C 1 2/m 1'
_symmetry_Int_Tables_number 12
_cell_length_a 7.329
_cell_length_b 8.007
_cell_length_c 5.229
_cell_angle_alpha 90.00
_cell_angle_beta 107.85
_cell_angle_gamma 90.00
loop_
_symmetry_equiv_pos_as_xyz
'x,y,z'
'-x,-y,-z'
'-x,y,-z'
'x,-y,z'
'x+1/2,y+1/2,z'
'-x+1/2,-y+1/2,-z'
'-x+1/2,y+1/2,-z'
'x+1/2,-y+1/2,z'
loop_
_atom_site_label
_atom_site_type_symbol
_atom_site_fract_x
_atom_site_fract_y
_atom_site_fract_z
Li1 Li 0.000 0.186 0.000
As1 As 0.219 0.500 0.432
O1 O 0.000 0.500 0.500
O2 O 0.103 0.000 0.274
O3 O 0.215 0.334 0.223
```

---

No. 6
InIrSe2: optimized geometry, PBE-GGA.

Calculated values
Density of states at the Fermi level   5.3 states/eV per cell
Formation energy from raw total energies   11.12 kcal/mol of atoms
ρ   10.165 g/cm3
Energy   -4.1600 eV per atom

```
data_InIrSe2
_chemical_formula_sum 'In2 Ir2 Se4'
_symmetry_space_group_name_H-M 'I -4 m 2'
_symmetry_Int_Tables_number 119
_symmetry_space_group_name_Hall 'I -4 -2'
_cell_length_a 4.325
_cell_length_b 4.325
_cell_length_c 8.120
_cell_angle_alpha 90.00
_cell_angle_beta 90.00
_cell_angle_gamma 90.00
loop_
_atom_site_label
_atom_site_type_symbol
_atom_site_fract_x
_atom_site_fract_y
_atom_site_fract_z
In1 In 0.000 0.000 0.000
Ir1 Ir 0.000 0.500 0.750
Se1 Se 0.000 0.000 0.500
Se2 Se 0.000 0.500 0.250
```

---

No. 7
Hf2ZrGaH: optimized geometry, PBE-GGA.

Calculated values
Density of states at the Fermi level   5.5 states/eV per cell
ρ   10.201 g/cm3
Energy relative to the lowest polymorph listed for this composition   0.108 eV/atom
Energy   -7.2012 eV per atom

```
data_Hf2ZrGaH
_chemical_formula_sum 'Hf2 Zr1 Ga1 H1'
_symmetry_space_group_name_H-M 'P 4/m m m'
_symmetry_Int_Tables_number 123
_symmetry_space_group_name_Hall '-P 4 2'
_cell_length_a 4.181
_cell_length_b 4.181
_cell_length_c 4.832
_cell_angle_alpha 90.00
_cell_angle_beta 90.00
_cell_angle_gamma 90.00
loop_
_atom_site_label
_atom_site_type_symbol
_atom_site_fract_x
_atom_site_fract_y
_atom_site_fract_z
Hf1 Hf 0.000 0.500 0.000
Zr1 Zr 0.000 0.000 0.500
Ga1 Ga 0.500 0.500 0.500
H1 H 0.500 0.500 0.000
```

---

No. 8
Mg2CdReO6: optimized geometry, PBE-GGA.

Calculated values
Density of states at the Fermi level   10.0 states/eV per cell
Formation energy from raw total energies   -43.29 kcal/mol of atoms
ρ   6.249 g/cm3
Energy   -6.5075 eV per atom

```
data_Mg2CdReO6
_chemical_formula_sum 'Mg6 Cd3 Re3 O18'
_symmetry_space_group_name_H-M 'R 3'
_symmetry_Int_Tables_number 146
_symmetry_space_group_name_Hall 'R 3'
_cell_length_a 5.3238
_cell_length_b 5.3238
_cell_length_c 14.3934
_cell_angle_alpha 90.00
_cell_angle_beta 90.00
_cell_angle_gamma 120.00
loop_
_atom_site_label
_atom_site_type_symbol
_atom_site_fract_x
_atom_site_fract_y
_atom_site_fract_z
Mg1 Mg 0.0000 0.0000 0.0000
Mg2 Mg 0.0000 0.0000 0.4944
Cd1 Cd 0.0000 0.0000 0.2768
Re1 Re 0.0000 0.0000 0.7982
O1 O 0.0233 0.3470 0.4018
O2 O 0.0711 0.7006 0.5562
```

---

Q: The lowest ρ belongs to which entry?
A: Mg3ScAg